No. 1
VASP calculation (GGA-PBE) on a relaxed structure of Mg2MnBe.

Cell lengths 2.934, 2.934, 7.387 Å; angles 90.00, 90.00, 90.00 degrees
Element x y z (fractional)
Mg  0.000  0.000  0.227
Mg  0.000  0.000  0.773
Mn  0.500  0.500  0.500
Be  0.500  0.500  0.000

## Properties
The formation energy comes out at 129 kJ/mol of formula units.

=====

No. 2
VASP calculation (GGA-PBE) on a relaxed structure of MgMn2Be.

Cell lengths 2.603, 3.843, 5.187 Å; angles 90.00, 102.01, 90.00 degrees
Element x y z (fractional)
Mg  0.000  0.000  0.000
Mn  0.515  0.000  0.501
Mn  0.709  0.500  0.315
Be  0.278  0.500  0.722

## Properties
The value obtained for the energy relative to the lowest polymorph listed for this composition is 180.9 meV/atom. The formation energy comes out at 98 kJ/mol of formula units.

=====

No. 3
VASP calculation (GGA-PBE) on a relaxed structure of MgMn2Be.

Cell lengths 4.239, 4.239, 4.928 Å; angles 96.65, 96.65, 36.12 degrees
Element x y z (fractional)
Mg  0.000  0.000  0.000
Mn  0.239  0.239  0.668
Mn  0.489  0.489  0.490
Be  0.756  0.756  0.269

## Properties
The value obtained for the energy relative to the lowest polymorph listed for this composition is 201.9 meV/atom. The formation energy comes out at 106 kJ/mol of formula units.